Record 1
First-principles (GGA-PBEsol) data for a relaxed structure of MnV4CoO12, as listed in Alexandria via LeMat-Bulk.

Output
The total magnetization comes out at 0.4215 μB per atom. As for the formation energy (no corrections): -2043 meV/atom. The total energy comes out at -8.655 eV per atom.

The structure in CIF format:
```
data_MnV4CoO12
_symmetry_space_group_name_H-M 'C 1 2 1'
_symmetry_Int_Tables_number 5
_cell_length_a 9.834
_cell_length_b 8.851
_cell_length_c 5.752
_cell_angle_alpha 90.00
_cell_angle_beta 110.43
_cell_angle_gamma 90.00
loop_
_symmetry_equiv_pos_as_xyz
'x,y,z'
'-x,y,-z'
'x+1/2,y+1/2,z'
'-x+1/2,y+1/2,-z'
loop_
_atom_site_label
_atom_site_type_symbol
_atom_site_fract_x
_atom_site_fract_y
_atom_site_fract_z
_atom_site_occupancy
Mn1 Mn 0.000 0.000 0.000 1
V1 V 0.201 0.511 0.492 1
V2 V 0.203 0.326 0.996 1
Co1 Co 0.000 0.835 0.500 1
O1 O 0.112 0.841 0.886 1
O2 O 0.114 0.998 0.398 1
O3 O 0.137 0.432 0.191 1
O4 O 0.140 0.402 0.695 1
O5 O 0.141 0.687 0.478 1
O6 O 0.147 0.147 0.986 1
```

---

Record 2
First-principles (GGA-PBEsol) data for a relaxed structure of MnCoOs3, as listed in Alexandria via LeMat-Bulk.

Output
The total magnetization comes out at 0.5852 μB per atom. The formation energy from the elements comes out at 10.15 eV per formula unit. The total energy comes out at -8.799 eV per atom.

The structure in CIF format:
```
data_MnCoOs3
_symmetry_space_group_name_H-M 'P m -3 m'
_symmetry_Int_Tables_number 221
_symmetry_space_group_name_Hall '-P 4 2 3'
_cell_length_a 4.328
_cell_length_b 4.328
_cell_length_c 4.328
_cell_angle_alpha 90.00
_cell_angle_beta 90.00
_cell_angle_gamma 90.00
loop_
_atom_site_label
_atom_site_type_symbol
_atom_site_fract_x
_atom_site_fract_y
_atom_site_fract_z
_atom_site_occupancy
Mn1 Mn 0.000 0.000 0.000 1
Co1 Co 0.500 0.500 0.500 1
Os1 Os 0.000 0.000 0.500 1
```

---

Record 3
First-principles (GGA-PBEsol) data for a relaxed structure of Mn2CoPPt, as listed in Alexandria via LeMat-Bulk.

Output
The total magnetization comes out at 2.0973 μB per atom. The formation energy from the elements comes out at 5.89 eV per formula unit. The total energy comes out at -6.824 eV per atom.

The structure in CIF format:
```
data_Mn2CoPPt
_symmetry_space_group_name_H-M 'P 4/m m m'
_symmetry_Int_Tables_number 123
_symmetry_space_group_name_Hall '-P 4 2'
_cell_length_a 4.838
_cell_length_b 4.838
_cell_length_c 4.292
_cell_angle_alpha 90.00
_cell_angle_beta 90.00
_cell_angle_gamma 90.00
loop_
_atom_site_label
_atom_site_type_symbol
_atom_site_fract_x
_atom_site_fract_y
_atom_site_fract_z
_atom_site_occupancy
Mn1 Mn 0.000 0.500 0.000 1
Co1 Co 0.000 0.000 0.500 1
P1 P 0.500 0.500 0.500 1
Pt1 Pt 0.500 0.500 0.000 1
```

---

Among the records above, which one has the lowest total magnetization? MnV4CoO12

---

Copy entry 3 word for word.
First-principles (GGA-PBEsol) data for a relaxed structure of Mn2CoPPt, as listed in Alexandria via LeMat-Bulk.

Output
The total magnetization comes out at 2.0973 μB per atom. The formation energy from the elements comes out at 5.89 eV per formula unit. The total energy comes out at -6.824 eV per atom.

The structure in CIF format:
```
data_Mn2CoPPt
_symmetry_space_group_name_H-M 'P 4/m m m'
_symmetry_Int_Tables_number 123
_symmetry_space_group_name_Hall '-P 4 2'
_cell_length_a 4.838
_cell_length_b 4.838
_cell_length_c 4.292
_cell_angle_alpha 90.00
_cell_angle_beta 90.00
_cell_angle_gamma 90.00
loop_
_atom_site_label
_atom_site_type_symbol
_atom_site_fract_x
_atom_site_fract_y
_atom_site_fract_z
_atom_site_occupancy
Mn1 Mn 0.000 0.500 0.000 1
Co1 Co 0.000 0.000 0.500 1
P1 P 0.500 0.500 0.500 1
Pt1 Pt 0.500 0.500 0.000 1
```

---

Among the records above, which one has the lowest total magnetization? MnV4CoO12

---

Among the records above, which one has the highest total magnetization? Mn2CoPPt